# meta-GGA SCAN CrPN3, single point on PBEsol structure
# DFT total energy: -54.41 eV/cell
# Formation energy (no corrections): 449 meV/atom
data_CrPN3
_space_group_name_H-M_alt 'P m -3 m'
_space_group_IT_number 221
_space_group_name_Hall '-P 4 2 3'
_cell_length_a 3.452
_cell_length_b 3.452
_cell_length_c 3.452
_cell_angle_alpha 90.00
_cell_angle_beta 90.00
_cell_angle_gamma 90.00
loop_
_atom_site_label
_atom_site_fract_x
_atom_site_fract_y
_atom_site_fract_z
_atom_site_occupancy
Cr1 0.000 0.000 0.000 1
P1 0.500 0.500 0.500 1
N1 0.000 0.500 0.500 1



# meta-GGA SCAN LaMg2Re, single point on PBEsol structure
# Energy relative to the elements: 0.3102 eV/atom
# DFT total energy: -122.91 eV/cell
data_LaMg2Re
_space_group_name_H-M_alt 'P 4 m m'
_space_group_IT_number 99
_cell_length_a 3.440
_cell_length_b 3.440
_cell_length_c 7.579
_cell_angle_alpha 90.00
_cell_angle_beta 90.00
_cell_angle_gamma 90.00
loop_
_space_group_symop_operation_xyz
'x,y,z'
'-y,x,z'
'-x,-y,z'
'y,-x,z'
'-x,y,z'
'y,x,z'
'x,-y,z'
'-y,-x,z'
loop_
_atom_site_label
_atom_site_fract_x
_atom_site_fract_y
_atom_site_fract_z
_atom_site_occupancy
La1 0.000 0.000 0.000 1
Mg1 0.000 0.000 0.593 1
Mg2 0.500 0.500 0.364 1
Re1 0.500 0.500 0.767 1



# meta-GGA SCAN Sr2SnHg, single point on PBEsol structure
# Energy relative to the elements: -0.7705 eV/atom
# DFT total energy: -606.88 eV/cell
data_Sr2SnHg
_space_group_name_H-M_alt 'F m -3 m'
_space_group_IT_number 225
_space_group_name_Hall '-F 4 2 3'
_cell_length_a 7.918
_cell_length_b 7.918
_cell_length_c 7.918
_cell_angle_alpha 90.00
_cell_angle_beta 90.00
_cell_angle_gamma 90.00
loop_
_atom_site_label
_atom_site_fract_x
_atom_site_fract_y
_atom_site_fract_z
_atom_site_occupancy
Sr1 0.250 0.250 0.250 1
Sn1 0.000 0.000 0.000 1
Hg1 0.000 0.000 0.500 1



# meta-GGA SCAN Ca2NbGe2, single point on PBEsol structure
# Energy relative to the elements: 0.1589 eV/atom
# DFT total energy: -179.67 eV/cell
data_Ca2NbGe2
_space_group_name_H-M_alt 'I 4/m m m'
_space_group_IT_number 139
_space_group_name_Hall '-I 4 2'
_cell_length_a 3.953
_cell_length_b 3.953
_cell_length_c 12.952
_cell_angle_alpha 90.00
_cell_angle_beta 90.00
_cell_angle_gamma 90.00
loop_
_atom_site_label
_atom_site_fract_x
_atom_site_fract_y
_atom_site_fract_z
_atom_site_occupancy
Ca1 0.000 0.500 0.250 1
Nb1 0.000 0.000 0.000 1
Ge1 0.000 0.000 0.409 1



# meta-GGA SCAN LaSi2P6, single point on PBEsol structure
# DFT total energy: -2088.13 eV/cell
# Formation energy (no corrections): -553 meV/atom
data_LaSi2P6
_space_group_name_H-M_alt 'C m c 21'
_space_group_IT_number 36
_cell_length_a 10.099
_cell_length_b 27.927
_cell_length_c 10.269
_cell_angle_alpha 90.00
_cell_angle_beta 90.00
_cell_angle_gamma 90.00
loop_
_space_group_symop_operation_xyz
'x,y,z'
'-x,-y,z+1/2'
'-x,y,z'
'x,-y,z+1/2'
'x+1/2,y+1/2,z'
'-x+1/2,-y+1/2,z+1/2'
'-x+1/2,y+1/2,z'
'x+1/2,-y+1/2,z+1/2'
loop_
_atom_site_label
_atom_site_fract_x
_atom_site_fract_y
_atom_site_fract_z
_atom_site_occupancy
La1 0.000 0.042 0.000 1
La2 0.000 0.234 0.462 1
La3 0.000 0.311 0.977 1
La4 0.000 0.419 0.578 1
Si1 0.160 0.080 0.398 1
Si2 0.170 0.433 0.218 1
Si3 0.172 0.178 0.190 1
Si4 0.178 0.165 0.856 1
P1 0.000 0.041 0.295 1
P2 0.000 0.078 0.720 1
P3 0.000 0.157 0.719 1
P4 0.000 0.228 0.170 1
P5 0.000 0.317 0.690 1
P6 0.000 0.345 0.367 1
P7 0.000 0.425 0.937 1
P8 0.000 0.470 0.113 1
P9 0.153 0.046 0.597 1
P10 0.154 0.353 0.217 1
P11 0.160 0.458 0.821 1
P12 0.167 0.265 0.690 1
P13 0.202 0.470 0.408 1
P14 0.206 0.157 0.401 1
P15 0.210 0.121 0.039 1
P16 0.210 0.242 0.891 1



# meta-GGA SCAN Fe5C2, single point on PBEsol structure
# Energy relative to the elements: 0.1187 eV/atom
# DFT total energy: -440.07 eV/cell
data_Fe5C2
_space_group_name_H-M_alt 'C 1 2/c 1'
_space_group_IT_number 15
_cell_length_a 11.422
_cell_length_b 4.433
_cell_length_c 4.909
_cell_angle_alpha 90.00
_cell_angle_beta 97.46
_cell_angle_gamma 90.00
loop_
_space_group_symop_operation_xyz
'x,y,z'
'-x,-y,-z'
'-x,y,-z+1/2'
'x,-y,z+1/2'
'x+1/2,y+1/2,z'
'-x+1/2,-y+1/2,-z'
'-x+1/2,y+1/2,-z+1/2'
'x+1/2,-y+1/2,z+1/2'
loop_
_atom_site_label
_atom_site_fract_x
_atom_site_fract_y
_atom_site_fract_z
_atom_site_occupancy
Fe1 0.000 0.069 0.250 1
Fe2 0.098 0.414 0.919 1
Fe3 0.215 0.084 0.309 1
C1 0.113 0.186 0.579 1



# meta-GGA SCAN CoCu2Os, single point on PBEsol structure
# Energy relative to the elements: 0.2706 eV/atom
# DFT total energy: -237.00 eV/cell
# Energy relative to the lowest polymorph listed for this composition: 0.25 eV/f.u.
data_CoCu2Os
_space_group_name_H-M_alt 'C 1 m 1'
_space_group_IT_number 8
_cell_length_a 8.339
_cell_length_b 2.562
_cell_length_c 4.481
_cell_angle_alpha 90.00
_cell_angle_beta 99.50
_cell_angle_gamma 90.00
loop_
_space_group_symop_operation_xyz
'x,y,z'
'x,-y,z'
'x+1/2,y+1/2,z'
'x+1/2,-y+1/2,z'
loop_
_atom_site_label
_atom_site_fract_x
_atom_site_fract_y
_atom_site_fract_z
_atom_site_occupancy
Co1 0.000 0.000 0.000 1
Cu1 0.000 0.500 0.494 1
Cu2 0.252 0.000 0.701 1
Os1 0.245 0.500 0.191 1



# meta-GGA SCAN NiIr2Ru, single point on PBEsol structure
# Energy relative to the elements: 0.0085 eV/atom
# DFT total energy: -386.33 eV/cell
# Energy relative to the lowest polymorph listed for this composition: 0.14 eV/f.u.
data_NiIr2Ru
_space_group_name_H-M_alt 'I 4/m m m'
_space_group_IT_number 139
_space_group_name_Hall '-I 4 2'
_cell_length_a 3.721
_cell_length_b 3.721
_cell_length_c 7.545
_cell_angle_alpha 90.00
_cell_angle_beta 90.00
_cell_angle_gamma 90.00
loop_
_atom_site_label
_atom_site_fract_x
_atom_site_fract_y
_atom_site_fract_z
_atom_site_occupancy
Ni1 0.000 0.000 0.000 1
Ir1 0.000 0.500 0.250 1
Ru1 0.000 0.000 0.500 1



- Look up the DFT total energy of the third one.
  -606.88 eV/cell